Entry 1:
! PmGdPaPb (PBE, optimized geometry); values from VASP
! Calculated volume: 114.5 Å³/cell
! DFT formation energy: 0.14 eV/atom
! Density: 10.73 g cm⁻³
&SYSTEM
  ibrav = 0, nat = 4, ntyp = 4
/
ATOMIC_SPECIES
Pm 145.00 Pm.upf
Pb 207.20 Pb.upf
Pa 231.04 Pa.upf
Gd 157.25 Gd.upf
CELL_PARAMETERS angstrom
-3.537 0.097 4.147
1.544 -1.714 4.939
0.648 3.589 4.051
ATOMIC_POSITIONS crystal
Pm 0.750 0.750 0.750
Pb 0.500 0.500 0.500
Pa 0.000 0.000 0.000
Gd 0.250 0.250 0.250

=====

Entry 2:
! CoAu2 (PBE, optimized geometry); values from VASP
! Calculated volume: 224.7 Å³/cell
! DFT formation energy: 0.63 eV/atom
! Density: 13.39 g cm⁻³
&SYSTEM
  ibrav = 0, nat = 12, ntyp = 2
/
ATOMIC_SPECIES
Au 196.97 Au.upf
Co 58.93 Co.upf
CELL_PARAMETERS angstrom
-0.439 -5.054 -1.676
2.165 3.695 -3.194
8.213 -1.850 3.428
ATOMIC_POSITIONS crystal
Au 0.831 0.662 0.250
Au 0.169 0.831 0.750
Au 0.662 0.831 0.750
Au 0.169 0.338 0.750
Au 0.000 0.000 0.500
Au 0.000 0.000 0.000
Au 0.338 0.169 0.250
Au 0.831 0.169 0.250
Co 0.333 0.667 0.493
Co 0.667 0.333 0.993
Co 0.333 0.667 0.007
Co 0.667 0.333 0.507